*one*
A plane-wave DFT calculation with PBE was carried out for an optimized crystal structure of ScNiBMo.

Output
crystal system = cubic
size of the total moment = 0.02 μB/f.u.

Cell lengths 4.158, 4.158, 4.158 Å; angles 60.00, 60.00, 60.00 degrees
Atoms (fractional coordinates):
1 Sc 0.000 0.000 0.000
2 Ni 0.750 0.750 0.750
3 B 0.500 0.500 0.500
4 Mo 0.250 0.250 0.250


*two*
A plane-wave DFT calculation with PBE was carried out for an optimized crystal structure of ScNiBMo.

Output
crystal system = cubic
size of the total moment = 0.95 μB/f.u.

Cell lengths 4.205, 4.205, 4.205 Å; angles 60.00, 60.00, 60.00 degrees
Atoms (fractional coordinates):
1 Sc 0.000 0.000 0.000
2 Ni 0.250 0.250 0.250
3 B 0.750 0.750 0.750
4 Mo 0.500 0.500 0.500


How do the energies compare? Relative to the most stable structure, in meV per atom: *one* 336; *two* 0.


*one*
A plane-wave DFT calculation with PBE was carried out for an optimized crystal structure of YNiBMo.

Output
crystal system = cubic
size of the total moment = 0.09 μB/f.u.

Cell lengths 4.326, 4.326, 4.326 Å; angles 60.00, 60.00, 60.00 degrees
Atoms (fractional coordinates):
1 Y 0.000 0.000 0.000
2 Ni 0.750 0.750 0.750
3 B 0.500 0.500 0.500
4 Mo 0.250 0.250 0.250


*two*
A plane-wave DFT calculation with PBE was carried out for an optimized crystal structure of YNiBMo.

Output
crystal system = cubic
size of the total moment = 1.21 μB/f.u.

Cell lengths 4.382, 4.382, 4.382 Å; angles 60.00, 60.00, 60.00 degrees
Atoms (fractional coordinates):
1 Y 0.000 0.000 0.000
2 Ni 0.750 0.750 0.750
3 B 0.250 0.250 0.250
4 Mo 0.500 0.500 0.500


How do the energies compare? Relative to the most stable structure, in meV per atom: *one* 424; *two* 0.